First-principles (PBE-GGA) data for a relaxed structure of BaY2Ho, as listed in Alexandria via LeMat-Bulk.

Lattice parameters (Å, degrees): 12.443 12.443 12.443 17.09 17.09 17.09
Sites, in units of the cell vectors:
Ba: 0.000 0.000 0.000
Y: 0.243 0.243 0.243
Y: 0.757 0.757 0.757
Ho: 0.500 0.500 0.500

Output
Symmetry: No. 166
Formation energy from the elements, eV/atom: 0.16
Energy relative to the lowest polymorph listed for this composition, meV/atom: 8
M_tot, μB per formula unit: 0.00

First-principles (PBE-GGA) data for a relaxed structure of Be4Nb, as listed in Alexandria via LeMat-Bulk.

Lattice parameters (Å, degrees): 4.392 4.392 4.392 90.00 90.00 90.00
Sites, in units of the cell vectors:
Be: 0.000 0.000 0.000
Be: 0.000 0.500 0.500
Be: 0.500 0.000 0.500
Be: 0.500 0.500 0.000
Nb: 0.500 0.500 0.500

Output
Symmetry: No. 221
Formation energy from the elements, eV/atom: 1.89
Energy relative to the lowest polymorph listed for this composition, meV/atom: 2113
M_tot, μB per formula unit: 0.00

First-principles (PBE-GGA) data for a relaxed structure of PrHfAlZn, as listed in Alexandria via LeMat-Bulk.

Lattice parameters (Å, degrees): 4.987 4.987 4.987 60.00 60.00 60.00
Sites, in units of the cell vectors:
Pr: 0.000 0.000 0.000
Hf: 0.500 0.500 0.500
Al: 0.250 0.250 0.250
Zn: 0.750 0.750 0.750

Output
Symmetry: No. 216
Formation energy from the elements, eV/atom: -0.17
M_tot, μB per formula unit: 0.00

First-principles (PBE-GGA) data for a relaxed structure of La12Y7Th, as listed in Alexandria via LeMat-Bulk.

Lattice parameters (Å, degrees): 8.887 8.887 8.887 90.26 90.26 90.26
Sites, in units of the cell vectors:
La: 0.013 0.356 0.883
La: 0.117 0.987 0.644
La: 0.222 0.767 0.363
La: 0.233 0.637 0.778
La: 0.356 0.883 0.013
La: 0.363 0.222 0.767
La: 0.637 0.778 0.233
La: 0.644 0.117 0.987
La: 0.767 0.363 0.222
La: 0.778 0.233 0.637
La: 0.883 0.013 0.356
La: 0.987 0.644 0.117
Y: 0.000 0.000 0.000
Y: 0.126 0.356 0.440
Y: 0.356 0.440 0.126
Y: 0.440 0.126 0.356
Y: 0.560 0.874 0.644
Y: 0.644 0.560 0.874
Y: 0.874 0.644 0.560
Th: 0.500 0.500 0.500

Output
Symmetry: No. 148
Formation energy from the elements, eV/atom: 0.18
Energy relative to the lowest polymorph listed for this composition, meV/atom: 0
M_tot, μB per formula unit: 0.00

First-principles (PBE-GGA) data for a relaxed structure of CaPmAg3, as listed in Alexandria via LeMat-Bulk.

Lattice parameters (Å, degrees): 8.901 8.901 7.928 90.00 90.00 53.23
Sites, in units of the cell vectors:
Ca: 0.037 0.415 0.250
Ca: 0.415 0.037 0.750
Ca: 0.585 0.963 0.250
Ca: 0.963 0.585 0.750
Pm: 0.103 0.897 0.750
Pm: 0.435 0.565 0.250
Pm: 0.565 0.435 0.750
Pm: 0.897 0.103 0.250
Ag: 0.051 0.725 0.070
Ag: 0.051 0.725 0.430
Ag: 0.275 0.949 0.070
Ag: 0.275 0.949 0.430
Ag: 0.349 0.349 0.000
Ag: 0.349 0.349 0.500
Ag: 0.651 0.651 0.000
Ag: 0.651 0.651 0.500
Ag: 0.725 0.051 0.570
Ag: 0.725 0.051 0.930
Ag: 0.949 0.275 0.570
Ag: 0.949 0.275 0.930

Output
Symmetry: No. 63
Formation energy from the elements, eV/atom: -0.23
Energy relative to the lowest polymorph listed for this composition, meV/atom: 32
M_tot, μB per formula unit: 0.00

First-principles (PBE-GGA) data for a relaxed structure of ZnSbTe3, as listed in Alexandria via LeMat-Bulk.

Lattice parameters (Å, degrees): 5.757 5.757 5.757 90.00 90.00 90.00
Sites, in units of the cell vectors:
Zn: 0.000 0.000 0.000
Sb: 0.500 0.500 0.500
Te: 0.000 0.500 0.500
Te: 0.500 0.000 0.500
Te: 0.500 0.500 0.000

Output
Symmetry: No. 221
Energy relative to the lowest polymorph listed for this composition, meV/atom: 181
M_tot, μB per formula unit: 0.00
E_form (uncorrected), eV per atom: 0.58

First-principles (PBE-GGA) data for a relaxed structure of CsSc2IrCl, as listed in Alexandria via LeMat-Bulk.

Lattice parameters (Å, degrees): 5.489 5.489 5.348 90.00 90.00 90.00
Sites, in units of the cell vectors:
Cs: 0.000 0.000 0.000
Sc: 0.000 0.500 0.000
Sc: 0.500 0.000 0.000
Ir: 0.500 0.500 0.500
Cl: 0.000 0.000 0.500

Output
Symmetry: No. 123
M_tot, μB per formula unit: 0.03
E_form (uncorrected), eV per atom: 1.80

First-principles (PBE-GGA) data for a relaxed structure of Re2Ni2Rh, as listed in Alexandria via LeMat-Bulk.

Lattice parameters (Å, degrees): 6.978 6.978 2.744 90.00 90.00 90.00
Sites, in units of the cell vectors:
Re: 0.174 0.326 0.000
Re: 0.326 0.826 0.000
Re: 0.674 0.174 0.000
Re: 0.826 0.674 0.000
Ni: 0.122 0.622 0.500
Ni: 0.378 0.122 0.500
Ni: 0.622 0.878 0.500
Ni: 0.878 0.378 0.500
Rh: 0.000 0.000 0.500
Rh: 0.500 0.500 0.500

Output
Symmetry: No. 127
Formation energy from the elements, eV/atom: 0.22
Energy relative to the lowest polymorph listed for this composition, meV/atom: 0
M_tot, μB per formula unit: 0.00

Q: Which of these has the highest M_tot?
A: CsSc2IrCl